one) First-principles (PBE) data for a geometry-optimized SrLaPS2 structure, as listed in the Alexandria database.

a = 5.319 Å, b = 5.319 Å, c = 5.196 Å
α = 90.00°, β = 90.00°, γ = 90.00°
Fractional coordinates of all 5 atoms:
1 Sr 0.000 0.000 0.000
2 La 0.500 0.500 0.500
3 P 0.000 0.000 0.500
4 S 0.000 0.500 0.000
5 S 0.500 0.000 0.000

***

two) First-principles (PBE) data for a geometry-optimized SrLaPS2 structure, as listed in the Alexandria database.

a = 5.473 Å, b = 5.473 Å, c = 5.382 Å
α = 90.00°, β = 90.00°, γ = 90.00°
Fractional coordinates of all 5 atoms:
1 Sr 0.000 0.000 0.000
2 La 0.500 0.500 0.500
3 P 0.500 0.500 0.000
4 S 0.000 0.500 0.500
5 S 0.500 0.000 0.500

***

Stability, lowest: one)

***

one) First-principles (PBE) data for a geometry-optimized LaTaPS2 structure, as listed in the Alexandria database.

a = 4.754 Å, b = 4.754 Å, c = 4.913 Å
α = 90.00°, β = 90.00°, γ = 90.00°
Fractional coordinates of all 5 atoms:
1 La 0.000 0.000 0.000
2 Ta 0.500 0.500 0.500
3 P 0.500 0.500 0.000
4 S 0.000 0.500 0.500
5 S 0.500 0.000 0.500

***

two) First-principles (PBE) data for a geometry-optimized LaTaPS2 structure, as listed in the Alexandria database.

a = 5.314 Å, b = 5.314 Å, c = 5.372 Å
α = 90.00°, β = 90.00°, γ = 90.00°
Fractional coordinates of all 5 atoms:
1 La 0.000 0.000 0.000
2 Ta 0.500 0.500 0.500
3 P 0.000 0.000 0.500
4 S 0.000 0.500 0.000
5 S 0.500 0.000 0.000

***

Stability, lowest: two)

***

one) First-principles (PBE) data for a geometry-optimized LaTaP2S structure, as listed in the Alexandria database.

a = 5.276 Å, b = 5.276 Å, c = 5.272 Å
α = 90.00°, β = 90.00°, γ = 90.00°
Fractional coordinates of all 5 atoms:
1 La 0.000 0.000 0.000
2 Ta 0.500 0.500 0.500
3 P 0.000 0.500 0.000
4 P 0.500 0.000 0.000
5 S 0.000 0.000 0.500

***

two) First-principles (PBE) data for a geometry-optimized LaTaP2S structure, as listed in the Alexandria database.

a = 4.838 Å, b = 4.838 Å, c = 4.786 Å
α = 90.00°, β = 90.00°, γ = 90.00°
Fractional coordinates of all 5 atoms:
1 La 0.000 0.000 0.000
2 Ta 0.500 0.500 0.500
3 P 0.000 0.500 0.500
4 P 0.500 0.000 0.500
5 S 0.500 0.500 0.000

***

Stability, lowest: one)

***

one) First-principles (PBE) data for a geometry-optimized LaTcPS2 structure, as listed in the Alexandria database.

a = 5.400 Å, b = 5.400 Å, c = 5.439 Å
α = 90.00°, β = 90.00°, γ = 90.00°
Fractional coordinates of all 5 atoms:
1 La 0.000 0.000 0.000
2 Tc 0.500 0.500 0.500
3 P 0.000 0.000 0.500
4 S 0.000 0.500 0.000
5 S 0.500 0.000 0.000

***

two) First-principles (PBE) data for a geometry-optimized LaTcPS2 structure, as listed in the Alexandria database.

a = 4.841 Å, b = 4.841 Å, c = 4.458 Å
α = 90.00°, β = 90.00°, γ = 90.00°
Fractional coordinates of all 5 atoms:
1 La 0.000 0.000 0.000
2 Tc 0.500 0.500 0.500
3 P 0.500 0.500 0.000
4 S 0.000 0.500 0.500
5 S 0.500 0.000 0.500

***

Stability, lowest: one)

***

one) First-principles (PBE) data for a geometry-optimized LaZrPS2 structure, as listed in the Alexandria database.

a = 4.906 Å, b = 4.906 Å, c = 5.094 Å
α = 90.00°, β = 90.00°, γ = 90.00°
Fractional coordinates of all 5 atoms:
1 La 0.000 0.000 0.000
2 Zr 0.500 0.500 0.500
3 P 0.500 0.500 0.000
4 S 0.000 0.500 0.500
5 S 0.500 0.000 0.500

***

two) First-principles (PBE) data for a geometry-optimized LaZrPS2 structure, as listed in the Alexandria database.

a = 5.316 Å, b = 5.316 Å, c = 5.343 Å
α = 90.00°, β = 90.00°, γ = 90.00°
Fractional coordinates of all 5 atoms:
1 La 0.000 0.000 0.000
2 Zr 0.500 0.500 0.500
3 P 0.000 0.000 0.500
4 S 0.000 0.500 0.000
5 S 0.500 0.000 0.000

***

Stability, lowest: two)

***

one) First-principles (PBE) data for a geometry-optimized La2SbP structure, as listed in the Alexandria database.

a = 3.729 Å, b = 3.729 Å, c = 7.996 Å
α = 90.00°, β = 90.00°, γ = 97.90°
Fractional coordinates of all 4 atoms:
1 La 0.000 0.000 0.223
2 La 0.000 0.000 0.777
3 Sb 0.500 0.500 0.500
4 P 0.500 0.500 0.000

***

two) First-principles (PBE) data for a geometry-optimized La2SbP structure, as listed in the Alexandria database.

a = 4.682 Å, b = 6.442 Å, c = 6.442 Å
α = 38.38°, β = 90.00°, γ = 90.00°
Fractional coordinates of all 4 atoms:
1 La 0.000 0.000 0.000
2 La 0.500 0.257 0.257
3 Sb 0.000 0.731 0.731
4 P 0.500 0.492 0.492

***

Stability, lowest: one)

***

one) First-principles (PBE) data for a geometry-optimized La2SbP structure, as listed in the Alexandria database.

a = 5.555 Å, b = 5.555 Å, c = 5.555 Å
α = 129.13°, β = 114.53°, γ = 87.34°
Fractional coordinates of all 4 atoms:
1 La 0.232 0.232 0.000
2 La 0.768 0.768 0.000
3 Sb 0.500 0.000 0.500
4 P 0.000 0.500 0.500

***

two) First-principles (PBE) data for a geometry-optimized La2SbP structure, as listed in the Alexandria database.

a = 7.765 Å, b = 7.765 Å, c = 7.765 Å
α = 33.15°, β = 33.15°, γ = 33.15°
Fractional coordinates of all 4 atoms:
1 La 0.243 0.243 0.243
2 La 0.757 0.757 0.757
3 Sb 0.000 0.000 0.000
4 P 0.500 0.500 0.500

***

Stability, lowest: one)

***

one) First-principles (PBE) data for a geometry-optimized LaSbP structure, as listed in the Alexandria database.

a = 4.678 Å, b = 4.678 Å, c = 4.140 Å
α = 90.00°, β = 90.00°, γ = 120.00°
Fractional coordinates of all 3 atoms:
1 La 0.000 0.000 0.000
2 Sb 0.333 0.667 0.500
3 P 0.667 0.333 0.500

***

two) First-principles (PBE) data for a geometry-optimized LaSbP structure, as listed in the Alexandria database.

a = 4.911 Å, b = 4.911 Å, c = 4.911 Å
α = 60.00°, β = 60.00°, γ = 60.00°
Fractional coordinates of all 3 atoms:
1 La 0.000 0.000 0.000
2 Sb 0.500 0.500 0.500
3 P 0.250 0.250 0.250

***

Stability, lowest: two)

***

one) First-principles (PBE) data for a geometry-optimized LaSbP structure, as listed in the Alexandria database.

a = 5.074 Å, b = 5.074 Å, c = 5.074 Å
α = 60.00°, β = 60.00°, γ = 60.00°
Fractional coordinates of all 3 atoms:
1 La 0.000 0.000 0.000
2 Sb 0.750 0.750 0.750
3 P 0.500 0.500 0.500

***

two) First-principles (PBE) data for a geometry-optimized LaSbP structure, as listed in the Alexandria database.

a = 4.006 Å, b = 4.006 Å, c = 9.825 Å
α = 90.00°, β = 90.00°, γ = 90.00°
Fractional coordinates of all 6 atoms:
1 La 0.250 0.250 0.229
2 La 0.750 0.750 0.771
3 Sb 0.250 0.250 0.582
4 Sb 0.750 0.750 0.418
5 P 0.250 0.750 0.000
6 P 0.750 0.250 0.000

***

Stability, lowest: one)

***

one) First-principles (PBE) data for a geometry-optimized LaSbP structure, as listed in the Alexandria database.

a = 4.684 Å, b = 4.684 Å, c = 8.251 Å
α = 90.00°, β = 90.00°, γ = 120.00°
Fractional coordinates of all 6 atoms:
1 La 0.000 0.000 0.000
2 La 0.000 0.000 0.500
3 Sb 0.333 0.667 0.250
4 Sb 0.667 0.333 0.750
5 P 0.333 0.667 0.750
6 P 0.667 0.333 0.250

***

two) First-principles (PBE) data for a geometry-optimized LaSbP structure, as listed in the Alexandria database.

a = 6.064 Å, b = 6.064 Å, c = 6.064 Å
α = 140.25°, β = 140.25°, γ = 57.47°
Fractional coordinates of all 3 atoms:
1 La 0.000 0.000 0.000
2 Sb 0.322 0.322 0.000
3 P 0.559 0.559 0.000

***

Stability, lowest: one)

***

one) First-principles (PBE) data for a geometry-optimized LaSbP structure, as listed in the Alexandria database.

a = 5.101 Å, b = 5.101 Å, c = 5.101 Å
α = 60.00°, β = 60.00°, γ = 60.00°
Fractional coordinates of all 3 atoms:
1 La 0.000 0.000 0.000
2 Sb 0.750 0.750 0.750
3 P 0.250 0.250 0.250

***

two) First-principles (PBE) data for a geometry-optimized LaSbP structure, as listed in the Alexandria database.

a = 4.439 Å, b = 4.439 Å, c = 8.304 Å
α = 90.09°, β = 90.09°, γ = 91.96°
Fractional coordinates of all 6 atoms:
1 La 0.249 0.249 0.334
2 La 0.751 0.751 0.666
3 Sb 0.000 0.500 0.000
4 Sb 0.500 0.000 0.000
5 P 0.251 0.251 0.688
6 P 0.749 0.749 0.312

***

Stability, lowest: one)

***

one) First-principles (PBE) data for a geometry-optimized LaSb2TeP structure, as listed in the Alexandria database.

a = 5.214 Å, b = 5.214 Å, c = 5.375 Å
α = 90.00°, β = 90.00°, γ = 90.00°
Fractional coordinates of all 5 atoms:
1 La 0.000 0.000 0.000
2 Sb 0.000 0.500 0.500
3 Sb 0.500 0.000 0.500
4 Te 0.500 0.500 0.000
5 P 0.500 0.500 0.500

***

two) First-principles (PBE) data for a geometry-optimized LaSb2TeP structure, as listed in the Alexandria database.

a = 6.187 Å, b = 6.187 Å, c = 6.060 Å
α = 90.00°, β = 90.00°, γ = 90.00°
Fractional coordinates of all 5 atoms:
1 La 0.000 0.000 0.000
2 Sb 0.000 0.500 0.000
3 Sb 0.500 0.000 0.000
4 Te 0.000 0.000 0.500
5 P 0.500 0.500 0.500

***

Stability, lowest: two)

***

one) First-principles (PBE) data for a geometry-optimized LaSbTe2P structure, as listed in the Alexandria database.

a = 5.384 Å, b = 5.384 Å, c = 5.096 Å
α = 90.00°, β = 90.00°, γ = 90.00°
Fractional coordinates of all 5 atoms:
1 La 0.000 0.000 0.000
2 Sb 0.500 0.500 0.000
3 Te 0.000 0.500 0.500
4 Te 0.500 0.000 0.500
5 P 0.500 0.500 0.500

***

two) First-principles (PBE) data for a geometry-optimized LaSbTe2P structure, as listed in the Alexandria database.

a = 5.698 Å, b = 5.698 Å, c = 5.049 Å
α = 90.00°, β = 90.00°, γ = 90.00°
Fractional coordinates of all 5 atoms:
1 La 0.000 0.000 0.000
2 Sb 0.500 0.500 0.500
3 Te 0.000 0.500 0.500
4 Te 0.500 0.000 0.500
5 P 0.500 0.500 0.000

***

Stability, lowest: two)

***

one) First-principles (PBE) data for a geometry-optimized LaScP3 structure, as listed in the Alexandria database.

a = 4.891 Å, b = 4.891 Å, c = 4.891 Å
α = 90.00°, β = 90.00°, γ = 90.00°
Fractional coordinates of all 5 atoms:
1 La 0.000 0.000 0.000
2 Sc 0.500 0.500 0.500
3 P 0.000 0.500 0.500
4 P 0.500 0.000 0.500
5 P 0.500 0.500 0.000

***

two) First-principles (PBE) data for a geometry-optimized LaScP3 structure, as listed in the Alexandria database.

a = 5.224 Å, b = 5.224 Å, c = 5.224 Å
α = 90.00°, β = 90.00°, γ = 90.00°
Fractional coordinates of all 5 atoms:
1 La 0.000 0.000 0.000
2 Sc 0.500 0.500 0.500
3 P 0.000 0.000 0.500
4 P 0.000 0.500 0.000
5 P 0.500 0.000 0.000

***

Stability, lowest: two)